CoAu3 (PBE-GGA, optimized geometry); V = 28.26 A^3/atom; DFT formation energy = 1.0192 eV per atom; space-group type = Pm-3m (221); density of states at the Fermi level = 3.59 states/eV/cell; electronic total energy = -3.22 eV per atom
1.0
-4.301 -1.324 -1.768
-1.334 -1.526 4.390
-1.760 4.393 0.992
Co Au
1 3
direct
0.000 0.000 0.000 Co
0.000 0.500 0.000 Au
0.000 0.000 0.500 Au
0.500 0.000 0.000 Au

***

Co2Au (PBE-GGA, optimized geometry); V = 13.43 A^3/atom; DFT formation energy = 0.2235 eV per atom; space-group type = Fd-3m (227); density of states at the Fermi level = 9.84 states/eV/cell; electronic total energy = -5.61 eV per atom
1.0
0.000 3.428 3.428
3.428 0.000 3.428
3.428 3.428 0.000
Co Au
4 2
direct
0.125 0.125 0.625 Co
0.125 0.125 0.125 Co
0.125 0.625 0.125 Co
0.625 0.125 0.125 Co
0.500 0.500 0.500 Au
0.750 0.750 0.750 Au

***

CoAu3 (PBE-GGA, optimized geometry); V = 16.56 A^3/atom; DFT formation energy = 0.2102 eV per atom; space-group type = C2/m (12); density of states at the Fermi level = 4.45 states/eV/cell; electronic total energy = -4.02 eV per atom
1.0
-2.263 -4.246 0.998
-0.268 -3.907 2.969
-0.466 11.430 -1.496
Au Co
3 1
direct
0.024 0.024 0.013 Au
0.000 0.000 0.750 Au
0.976 0.976 0.487 Au
0.000 0.000 0.250 Co

***

Co5Au (PBE-GGA, optimized geometry); V = 12.16 A^3/atom; DFT formation energy = 0.1231 eV per atom; space-group type = Cmmm (65); density of states at the Fermi level = 6.74 states/eV/cell; electronic total energy = -6.34 eV per atom; energy above the lowest structure with this stoichiometry = 3 meV per atom
1.0
5.115 -0.332 2.439
-5.185 2.188 0.739
-1.042 -3.068 1.769
Au Co
1 5
direct
0.500 0.500 0.000 Au
0.176 0.824 0.000 Co
0.000 0.000 0.500 Co
0.675 0.325 0.500 Co
0.325 0.675 0.500 Co
0.824 0.176 0.000 Co

***

CoAu3 (PBE-GGA, optimized geometry); V = 16.58 A^3/atom; DFT formation energy = 0.2049 eV per atom; space-group type = Pnma (62); density of states at the Fermi level = 17.23 states/eV/cell; electronic total energy = -4.03 eV per atom
1.0
4.890 0.000 0.000
0.000 9.378 0.000
0.000 0.000 5.786
Co Au
4 12
direct
0.572 0.750 0.857 Co
0.428 0.250 0.143 Co
0.928 0.250 0.357 Co
0.072 0.750 0.643 Co
0.760 0.508 0.628 Au
0.740 0.008 0.128 Au
0.260 0.992 0.872 Au
0.940 0.250 0.882 Au
0.740 0.492 0.128 Au
0.260 0.508 0.872 Au
0.060 0.750 0.118 Au
0.240 0.008 0.372 Au
0.440 0.250 0.618 Au
0.760 0.992 0.628 Au
0.560 0.750 0.382 Au
0.240 0.492 0.372 Au

***

Co2Au (PBE-GGA, optimized geometry); V = 16.61 A^3/atom; DFT formation energy = 0.7997 eV per atom; space-group type = Fm-3m (225); density of states at the Fermi level = 7.36 states/eV/cell; electronic total energy = -5.03 eV per atom
1.0
-3.747 -1.271 -1.186
-1.482 -3.608 1.357
-3.113 -0.065 2.713
Au Co
1 2
direct
0.000 0.000 0.000 Au
0.750 0.750 0.750 Co
0.250 0.250 0.250 Co

***

Co2Au (PBE-GGA, optimized geometry); V = 15.26 A^3/atom; DFT formation energy = 0.4683 eV per atom; space-group type = P4/mmm (123); density of states at the Fermi level = 2.62 states/eV/cell; electronic total energy = -5.36 eV per atom
1.0
3.292 0.000 0.000
0.000 3.292 0.000
0.000 0.000 4.225
Au Co
1 2
direct
0.000 0.000 0.000 Au
0.000 0.500 0.500 Co
0.500 0.000 0.500 Co

***

Co3Au4 (PBE-GGA, optimized geometry); V = 15.18 A^3/atom; DFT formation energy = 0.1620 eV per atom; space-group type = I4/mmm (139); density of states at the Fermi level = 7.07 states/eV/cell; electronic total energy = -4.76 eV per atom
1.0
9.403 3.375 9.153
9.435 6.734 7.015
-10.835 -4.293 -6.910
Au Co
4 3
direct
0.431 0.431 0.000 Au
0.846 0.846 0.000 Au
0.154 0.154 0.000 Au
0.569 0.569 0.000 Au
0.000 0.000 0.000 Co
0.274 0.274 0.000 Co
0.726 0.726 0.000 Co

***

CoAu (PBE-GGA, optimized geometry); V = 15.79 A^3/atom; DFT formation energy = 0.3793 eV per atom; space-group type = Fddd (70); density of states at the Fermi level = 36.44 states/eV/cell; electronic total energy = -4.81 eV per atom
1.0
-7.790 0.694 -0.007
-0.959 -10.847 -8.480
-0.259 -2.865 3.694
Co Au
16 16
direct
0.500 0.418 0.000 Co
0.750 0.332 0.250 Co
0.500 0.082 0.500 Co
0.500 0.918 0.500 Co
0.750 0.668 0.750 Co
0.750 0.832 0.750 Co
0.500 0.582 0.000 Co
0.250 0.332 0.750 Co
0.000 0.582 0.500 Co
0.000 0.082 0.000 Co
0.250 0.832 0.250 Co
0.000 0.418 0.500 Co
0.750 0.168 0.250 Co
0.250 0.668 0.250 Co
0.250 0.168 0.750 Co
0.000 0.918 0.000 Co
0.582 0.750 0.250 Au
0.168 0.500 0.000 Au
0.832 0.500 0.000 Au
0.418 0.750 0.750 Au
0.832 0.000 0.500 Au
0.082 0.250 0.250 Au
0.668 0.000 0.000 Au
0.668 0.500 0.500 Au
0.332 0.000 0.000 Au
0.418 0.250 0.250 Au
0.168 0.000 0.500 Au
0.582 0.250 0.750 Au
0.918 0.750 0.250 Au
0.918 0.250 0.750 Au
0.082 0.750 0.750 Au
0.332 0.500 0.500 Au

***

Co4Au (PBE-GGA, optimized geometry); V = 19.86 A^3/atom; DFT formation energy = 1.8440 eV per atom; space-group type = Pm-3m (221); density of states at the Fermi level = 10.59 states/eV/cell; electronic total energy = -4.50 eV per atom; energy above the lowest structure with this stoichiometry = 1705 meV per atom
1.0
-2.238 -2.460 3.223
-1.214 -3.106 -3.213
3.868 -2.398 0.856
Co Au
4 1
direct
0.000 0.500 0.500 Co
0.500 0.000 0.500 Co
0.000 0.000 0.000 Co
0.500 0.500 0.000 Co
0.500 0.500 0.500 Au

***

CoAu (PBE-GGA, optimized geometry); V = 14.97 A^3/atom; DFT formation energy = 0.1997 eV per atom; space-group type = P-3m1 (164); density of states at the Fermi level = 2.58 states/eV/cell; electronic total energy = -4.99 eV per atom
1.0
-0.176 -2.080 -1.809
0.474 -0.527 2.670
-8.921 -0.532 1.479
Au Co
2 2
direct
0.333 0.667 0.274 Au
0.000 0.000 0.976 Au
0.000 0.000 0.526 Co
0.333 0.667 0.724 Co

***

Co5Au (PBE-GGA, optimized geometry); V = 12.47 A^3/atom; DFT formation energy = 0.2129 eV per atom; space-group type = F-43m (216); density of states at the Fermi level = 6.77 states/eV/cell; electronic total energy = -6.25 eV per atom; energy above the lowest structure with this stoichiometry = 93 meV per atom
1.0
-3.485 -2.512 -1.980
-4.490 1.416 0.455
-2.328 1.723 -3.740
Co Au
5 1
direct
0.874 0.375 0.375 Co
0.375 0.375 0.874 Co
0.375 0.375 0.375 Co
0.750 0.750 0.750 Co
0.375 0.874 0.375 Co
0.000 0.000 0.000 Au